# Mg4MnRh5

A relaxed structure of Mg4MnRh5 (PBE, Alexandria via LeMat-Bulk).

Cell: 3.097 3.097 15.519 Å, 90.00 90.00 90.00°
Space group P4/mmm (No. 123)
Symmetry-distinct sites (fractional):
Mg1 0.000 0.000 0.101 [2 per cell]
Mg2 0.000 0.000 0.301 [2 per cell]
Mn1 0.000 0.000 0.500 [1 per cell]
Rh1 0.500 0.500 0.000 [1 per cell]
Rh2 0.500 0.500 0.203 [2 per cell]
Rh3 0.500 0.500 0.408 [2 per cell]

Summary:
- ΔH_f (0 K) (eV/atom) = -0.419
- energy (eV/atom) = -5.65
- crystal system = tetragonal



# CdInS

A relaxed structure of CdInS (PBE, Alexandria via LeMat-Bulk).

Cell: 3.9009 3.9009 5.3919 Å, 90.00 90.00 120.00°
Space group P3m1 (No. 156)
Symmetry-distinct sites (fractional):
Cd1 0.0000 0.0000 0.0000 [1 per cell]
In1 0.6667 0.3333 0.3848 [1 per cell]
S1 0.3333 0.6667 0.6963 [1 per cell]

Summary:
- formation energy from raw total energies (kcal/mol of atoms) = -6.6
- energy (eV/atom) = -2.88
- crystal system = trigonal



# KAc2La

A relaxed structure of KAc2La (PBE, Alexandria via LeMat-Bulk).

Cell: 3.9251 3.9251 42.4767 Å, 90.00 90.00 120.00°
Space group R-3m (No. 166, hexagonal axes)
Symmetry-distinct sites (fractional):
K1 0.0000 0.0000 0.0000 [3 per cell]
Ac1 0.0000 0.0000 0.0942 [6 per cell]
La1 0.0000 0.0000 0.5000 [3 per cell]

Summary:
- ΔH_f (0 K) (eV/atom) = 0.149
- energy (eV/atom) = -3.41
- crystal system = trigonal



# SmHoHgGe

A relaxed structure of SmHoHgGe (PBE, Alexandria via LeMat-Bulk).

Cell: 7.342 7.342 7.342 Å, 90.00 90.00 90.00°
Space group F-43m (No. 216)
Symmetry-distinct sites (fractional):
Sm1 0.000 0.000 0.000 [4 per cell]
Ho1 0.000 0.000 0.500 [4 per cell]
Hg1 0.250 0.250 0.750 [4 per cell]
Ge1 0.250 0.250 0.250 [4 per cell]

Summary:
- ΔH_f (0 K) (eV/atom) = -0.553
- energy (eV/atom) = -4.11
- crystal system = cubic